Entry 1:
Density functional theory data (PBE) for AcHo2Hg2Pb2 after structural relaxation.

ΔE_f: -0.266 eV/atom
symmetry: R-3m, No. 166

a b c (Å): 9.6374 9.6374 9.6374
angles (deg): 31.06 31.06 31.06
Element x y z (fractional)
Ac  0.0000  0.0000  0.0000
Ho  0.1334  0.1334  0.1334
Ho  0.8666  0.8666  0.8666
Hg  0.4405  0.4405  0.4405
Hg  0.5595  0.5595  0.5595
Pb  0.2638  0.2638  0.2638
Pb  0.7362  0.7362  0.7362

***

Entry 2:
Density functional theory data (PBE) for K2NdAlF8 after structural relaxation.

symmetry: P2/m, No. 10
raw formation energy: -3422 meV/atom

a b c (Å): 5.0411 6.8929 5.9636
angles (deg): 90.00 91.19 90.00
Element x y z (fractional)
K  0.0000  0.2235  0.0000
K  0.0000  0.7765  0.0000
Nd  0.5000  0.5000  0.5000
Al  0.5000  0.0000  0.5000
F  0.1705  0.5000  0.2443
F  0.2399  0.0000  0.2972
F  0.3418  0.2077  0.6608
F  0.3418  0.7923  0.6608
F  0.6582  0.2077  0.3392
F  0.6582  0.7923  0.3392
F  0.7601  0.0000  0.7028
F  0.8295  0.5000  0.7557

***

Entry 3:
Density functional theory data (PBE) for SmGa4Pt2 after structural relaxation.

ΔE_f: -0.690 eV/atom
symmetry: P4_2/mnm, No. 136

a b c (Å): 7.8720 7.8720 4.2145
angles (deg): 90.00 90.00 90.00
Element x y z (fractional)
Sm  0.0000  0.0000  0.0000
Sm  0.5000  0.5000  0.5000
Ga  0.0844  0.3284  0.5000
Ga  0.1716  0.5844  0.0000
Ga  0.3284  0.0844  0.5000
Ga  0.4156  0.8284  0.0000
Ga  0.5844  0.1716  0.0000
Ga  0.6716  0.9156  0.5000
Ga  0.8284  0.4156  0.0000
Ga  0.9156  0.6716  0.5000
Pt  0.2173  0.7827  0.5000
Pt  0.2827  0.2827  0.0000
Pt  0.7173  0.7173  0.0000
Pt  0.7827  0.2173  0.5000

***

Entry 4:
Density functional theory data (PBE) for Dy2Er8Sn after structural relaxation.

ΔE_f: -0.103 eV/atom
symmetry: C2/m, No. 12

a b c (Å): 9.9873 9.9873 6.3529
angles (deg): 94.85 94.85 31.84
Element x y z (fractional)
Dy  0.2437  0.2437  0.3354
Dy  0.7563  0.7563  0.6646
Er  0.0443  0.0443  0.2659
Er  0.1540  0.1540  0.8044
Er  0.3383  0.3383  0.8760
Er  0.4216  0.4216  0.4018
Er  0.5784  0.5784  0.5982
Er  0.6617  0.6617  0.1240
Er  0.8460  0.8460  0.1956
Er  0.9557  0.9557  0.7341
Sn  0.5000  0.5000  0.0000

***

Entry 5:
Density functional theory data (PBE) for CaZr2Fe2 after structural relaxation.

ΔE_f: 0.138 eV/atom
symmetry: P4/mbm, No. 127

a b c (Å): 7.6844 7.6844 3.1904
angles (deg): 90.00 90.00 90.00
Element x y z (fractional)
Ca  0.0000  0.0000  0.0000
Ca  0.5000  0.5000  0.0000
Zr  0.1446  0.3554  0.5000
Zr  0.3554  0.8554  0.5000
Zr  0.6446  0.1446  0.5000
Zr  0.8554  0.6446  0.5000
Fe  0.1384  0.6384  0.0000
Fe  0.3616  0.1384  0.0000
Fe  0.6384  0.8616  0.0000
Fe  0.8616  0.3616  0.0000

***

Entry 6:
Density functional theory data (PBE) for DyTmTeAs after structural relaxation.

symmetry: R3m, No. 160
raw formation energy: -1423 meV/atom

a b c (Å): 7.6472 7.6472 7.6472
angles (deg): 31.20 31.20 31.20
Element x y z (fractional)
Dy  0.0000  0.0000  0.0000
Tm  0.1898  0.1898  0.1898
Te  0.4287  0.4287  0.4287
As  0.5957  0.5957  0.5957

***

Entry 7:
Density functional theory data (PBE) for Y2Zr2B after structural relaxation.

ΔE_f: 1.215 eV/atom
symmetry: I4/mmm, No. 139

a b c (Å): 8.3613 8.3613 8.3613
angles (deg): 152.93 152.93 38.66
Element x y z (fractional)
Y  0.2500  0.7500  0.5000
Y  0.7500  0.2500  0.5000
Zr  0.0754  0.0754  0.0000
Zr  0.9246  0.9246  0.0000
B  0.5000  0.5000  0.0000

***

Entry 8:
Density functional theory data (PBE) for Zr2MoAu after structural relaxation.

ΔE_f: -0.249 eV/atom
symmetry: Fm-3m, No. 225

a b c (Å): 4.7829 4.7829 4.7829
angles (deg): 60.00 60.00 60.00
Element x y z (fractional)
Zr  0.2500  0.2500  0.2500
Zr  0.7500  0.7500  0.7500
Mo  0.0000  0.0000  0.0000
Au  0.5000  0.5000  0.5000

***

Entry 9:
Density functional theory data (PBE) for LiIn2F8 after structural relaxation.

symmetry: P-1, No. 2
raw formation energy: -2221 meV/atom

a b c (Å): 3.6907 5.9081 7.2840
angles (deg): 80.35 88.39 77.82
Element x y z (fractional)
Li  0.0000  0.0000  0.0000
In  0.2522  0.5207  0.7215
In  0.7478  0.4793  0.2785
F  0.0853  0.8601  0.7707
F  0.2407  0.5219  0.1237
F  0.2989  0.3608  0.4697
F  0.3903  0.1647  0.8481
F  0.6097  0.8353  0.1519
F  0.7011  0.6392  0.5303
F  0.7593  0.4781  0.8763
F  0.9147  0.1399  0.2293

***

Entry 10:
Density functional theory data (PBE) for La2CuIr after structural relaxation.

ΔE_f: -0.238 eV/atom
symmetry: F-43m, No. 216

a b c (Å): 4.9108 4.9108 4.9108
angles (deg): 60.00 60.00 60.00
Element x y z (fractional)
La  0.0000  0.0000  0.0000
La  0.2500  0.2500  0.2500
Cu  0.5000  0.5000  0.5000
Ir  0.7500  0.7500  0.7500

***

Entry 11:
Density functional theory data (PBE) for MnTe2Pt after structural relaxation.

symmetry: P1, No. 1
raw formation energy: -178 meV/atom

a b c (Å): 3.1749 4.0070 7.9900
angles (deg): 89.94 78.71 89.99
Element x y z (fractional)
Mn  0.0000  0.0000  0.0000
Te  0.3914  0.4986  0.2167
Te  0.6726  0.0008  0.6492
Pt  0.5610  0.5003  0.8758

***

Entry 12:
Density functional theory data (PBE) for NaPr2Tl9 after structural relaxation.

ΔE_f: -0.218 eV/atom
symmetry: P4/mmm, No. 123

a b c (Å): 4.8478 4.8478 14.5852
angles (deg): 90.00 90.00 90.00
Element x y z (fractional)
Na  0.0000  0.0000  0.0000
Pr  0.0000  0.0000  0.3359
Pr  0.0000  0.0000  0.6641
Tl  0.0000  0.5000  0.1651
Tl  0.0000  0.5000  0.5000
Tl  0.0000  0.5000  0.8349
Tl  0.5000  0.0000  0.1651
Tl  0.5000  0.0000  0.5000
Tl  0.5000  0.0000  0.8349
Tl  0.5000  0.5000  0.0000
Tl  0.5000  0.5000  0.3341
Tl  0.5000  0.5000  0.6659

***

Q: Which size of the total moment values were calculated for the entries above? A: 0.00, 0.11, 0.00, 0.00, 0.00, 0.00, 0.00, 0.00, 1.00, 0.00, 4.43, 0.00, in μB/f.u..
Q: Which theoretical density values were calculated for the entries above? A: 10.782, 3.217, 10.420, 8.885, 5.892, 8.327, 5.099, 10.202, 4.216, 10.581, 8.416, 10.388, in g cm⁻³.